Entry from the Alexandria database: a relaxed MnMo3C crystal (GGA-PBE).

```
MnMo3C
1.0
4.419 0.000 0.000
0.000 4.419 0.000
0.000 0.000 4.419
Mo C Mn
3 1 1
direct
0.000 0.500 0.000 Mo
0.500 0.000 0.000 Mo
0.000 0.000 0.500 Mo
0.500 0.500 0.500 C
0.000 0.000 0.000 Mn
```

Properties
space group	Pm-3m
offset from the most stable computed form	2.033	eV per atom
energy of formation from the pure elements	2.338	eV/atom
raw total energy	-7.8396	eV/atom